TlCrHgO4 | Alexandria | GGA+U | optimized geometry; N(E_F) = 2.1 states/eV per cell; V = 132.1 Å³/f.u.; DFT total energy = -0.191 hartree per atom; space-group type = No. 11
1.0
6.1927 0.0000 -0.9083
0.0000 5.8169 0.0000
-2.9360 0.0000 7.7661
Tl Cr Hg O
2 2 2 8
Cartesian
1.5322 4.3627 6.5508 Tl
1.7246 1.4542 0.3070 Tl
0.7761 4.3627 2.2340 Cr
2.4807 1.4542 4.6238 Cr
4.2977 4.3627 3.5646 Hg
-1.0409 1.4542 3.2932 Hg
3.2649 2.8191 5.2571 O
-0.0081 5.7275 1.6007 O
-0.0081 2.9979 1.6007 O
3.2649 0.0894 5.2571 O
2.3745 4.3627 1.7944 O
0.8823 1.4542 5.0634 O
0.5724 4.3627 3.8825 O
2.6843 1.4542 2.9753 O